[1]
Density functional theory data (PBE-GGA) for an optimized crystal structure of Na3NbIn3Se8.

Its total energy is -122.9 eV for the cell shown. Its total magnetic moment is 1.5 μB per cell. The formation energy from raw total energies comes out at -0.756 eV/atom.

The space group is C2/m (No. 12) and the conventional cell measures 13.837, 7.982 and 8.494 Å, with angles of 90.00, 122.91 and 90.00 degrees. The asymmetric unit holds Na at (0.000, 0.000, 0.000), Na at (0.250, 0.250, 0.000), Nb at (0.000, 0.000, 0.500), In at (0.000, 0.500, 0.500), In at (0.250, 0.250, 0.500), Se at (0.008, 0.236, 0.287), Se at (0.228, 0.000, 0.713) and Se at (0.241, 0.500, 0.720).

***

[2]
Density functional theory data (PBE-GGA) for an optimized crystal structure of Ce3GeN2.

Its total energy is -90.8 eV for the cell shown. Its total magnetic moment is 4.1 μB per cell. The formation energy from raw total energies comes out at -1.057 eV/atom.

The space group is Pmc2_1 (No. 26) and the conventional cell measures 3.409, 10.852 and 6.379 Å, with angles of 90.00, 90.00 and 90.00 degrees. The asymmetric unit holds Ce at (0.000, 0.093, 0.000), Ce at (0.500, 0.178, 0.515), Ce at (0.500, 0.400, 0.865), Ge at (0.000, 0.362, 0.262), N at (0.000, 0.257, 0.764) and N at (0.500, 0.003, 0.262).

***

[3]
Density functional theory data (PBE-GGA) for an optimized crystal structure of LaTbIrPd.

Its total energy is -106.7 eV for the cell shown. Its total magnetic moment is 0.0 μB per cell. As for the energy of formation from the pure elements: -0.766 eV per atom. The value obtained for the excess energy over the best structure of this formula in the dataset is 17 kJ/mol of formula units.

The space group is F-43m (No. 216) and the conventional cell measures 7.114, 7.114 and 7.114 Å, with angles of 90.00, 90.00 and 90.00 degrees. The asymmetric unit holds La at (0.000, 0.000, 0.000), Tb at (0.000, 0.000, 0.500), Ir at (0.250, 0.250, 0.750) and Pd at (0.250, 0.250, 0.250).

***

[4]
Density functional theory data (PBE-GGA) for an optimized crystal structure of Tb8NdSc4.

Its total energy is -192.1 eV for the cell shown. Its total magnetic moment is 0.0 μB per cell. As for the energy of formation from the pure elements: 0.237 eV per atom.

The space group is R-3m (No. 166, hexagonal axes) and the conventional cell measures 7.1174, 7.1174 and 26.7942 Å, with angles of 90.00, 90.00 and 120.00 degrees. The asymmetric unit holds Tb at (0.0000, 0.0000, 0.2183), Tb at (0.0318, 0.5159, 0.7634), Nd at (0.0000, 0.0000, 0.5000), Sc at (0.0000, 0.0000, 0.0000) and Sc at (0.0000, 0.5000, 0.0000).

***

[5]
Density functional theory data (PBE-GGA) for an optimized crystal structure of Pm2NdAlPd4.

Its total energy is -134.0 eV for the cell shown. Its total magnetic moment is 0.0 μB per cell. As for the energy of formation from the pure elements: -0.736 eV per atom.

The space group is R-3m (No. 166, hexagonal axes) and the conventional cell measures 4.9200, 4.9200 and 24.6301 Å, with angles of 90.00, 90.00 and 120.00 degrees. The asymmetric unit holds Pm at (0.0000, 0.0000, 0.2439), Nd at (0.0000, 0.0000, 0.0000), Al at (0.0000, 0.0000, 0.5000), Pd at (0.0000, 0.0000, 0.1272) and Pd at (0.0000, 0.0000, 0.3920).